No. 1
Material: YZrSe2N
Method: DFT, PBE
State: relaxed

Lattice parameters (Å, degrees): 5.411 5.411 3.999 90.00 90.00 90.00
Positions (direct):
1 Y 0.000 0.000 0.000
2 Zr 0.500 0.500 0.500
3 Se 0.000 0.500 0.000
4 Se 0.500 0.000 0.000
5 N 0.000 0.000 0.500

Values from the calculation:
Offset from the most stable computed form (meV/atom): 850
Crystal system: tetragonal
SG: P4/mmm (123)
Raw formation energy (eV per formula unit): -0.2

No. 2
Material: LiAc3Zn2
Method: DFT, PBE
State: relaxed

Lattice parameters (Å, degrees): 3.966 3.966 11.875 90.00 90.00 90.00
Positions (direct):
1 Li 0.000 0.000 0.000
2 Ac 0.500 0.500 0.181
3 Ac 0.500 0.500 0.500
4 Ac 0.500 0.500 0.819
5 Zn 0.000 0.000 0.334
6 Zn 0.000 0.000 0.666

Values from the calculation:
E_form (kJ per mole of atoms): -14.45
Crystal system: tetragonal
SG: P4/mmm (123)

No. 3
Material: IrAuSe2
Method: DFT, PBE
State: relaxed

Lattice parameters (Å, degrees): 6.776 6.776 6.181 90.00 90.00 90.00
Positions (direct):
1 Ir 0.000 0.000 0.250
2 Ir 0.000 0.000 0.750
3 Ir 0.500 0.500 0.250
4 Ir 0.500 0.500 0.750
5 Au 0.000 0.500 0.250
6 Au 0.000 0.500 0.750
7 Au 0.500 0.000 0.250
8 Au 0.500 0.000 0.750
9 Se 0.234 0.266 0.000
10 Se 0.234 0.734 0.500
11 Se 0.266 0.234 0.500
12 Se 0.266 0.766 0.000
13 Se 0.734 0.234 0.000
14 Se 0.734 0.766 0.500
15 Se 0.766 0.266 0.500
16 Se 0.766 0.734 0.000

Values from the calculation:
Crystal system: tetragonal
SG: I4/mcm (140)
Raw formation energy (eV per formula unit): 2.2

No. 4
Material: NaSrSeO4
Method: DFT, PBE
State: relaxed

Lattice parameters (Å, degrees): 6.690 6.690 6.690 120.34 115.08 94.07
Positions (direct):
1 Na 0.500 0.000 0.000
2 Na 0.500 0.500 0.500
3 Sr 0.000 0.000 0.000
4 Sr 0.500 0.000 0.500
5 Se 0.141 0.391 0.750
6 Se 0.859 0.609 0.250
7 O 0.168 0.721 0.448
8 O 0.227 0.279 0.948
9 O 0.250 0.257 0.507
10 O 0.250 0.743 0.993
11 O 0.750 0.257 0.007
12 O 0.750 0.743 0.493
13 O 0.773 0.721 0.052
14 O 0.832 0.279 0.552

Values from the calculation:
Crystal system: orthorhombic
SG: Imma (74)
Raw formation energy (eV per formula unit): -10.2

No. 5
Material: ZrSb3C
Method: DFT, PBE
State: relaxed

Lattice parameters (Å, degrees): 4.744 4.744 4.744 90.00 90.00 90.00
Positions (direct):
1 Zr 0.000 0.000 0.000
2 Sb 0.000 0.500 0.500
3 Sb 0.500 0.000 0.500
4 Sb 0.500 0.500 0.000
5 C 0.500 0.500 0.500

Values from the calculation:
Offset from the most stable computed form (meV/atom): 0
Crystal system: cubic
SG: Pm-3m (221)
Raw formation energy (eV per formula unit): 3.6

No. 6
Material: KMn3B
Method: DFT, PBE
State: relaxed

Lattice parameters (Å, degrees): 4.723 4.723 4.723 90.00 90.00 90.00
Positions (direct):
1 K 0.000 0.000 0.000
2 Mn 0.000 0.000 0.500
3 Mn 0.000 0.500 0.000
4 Mn 0.500 0.000 0.000
5 B 0.500 0.500 0.500

Values from the calculation:
E_form (kJ per mole of atoms): 288.86
Crystal system: cubic
SG: Pm-3m (221)

No. 7
Material: YSnN2F
Method: DFT, PBE
State: relaxed

Lattice parameters (Å, degrees): 4.530 4.530 4.289 90.00 90.00 90.00
Positions (direct):
1 Y 0.000 0.000 0.000
2 Sn 0.500 0.500 0.500
3 N 0.000 0.500 0.000
4 N 0.500 0.000 0.000
5 F 0.000 0.000 0.500

Values from the calculation:
Offset from the most stable computed form (meV/atom): 272
Crystal system: tetragonal
SG: P4/mmm (123)
Raw formation energy (eV per formula unit): -2.0

No. 8
Material: ScPaS2
Method: DFT, PBE
State: relaxed

Lattice parameters (Å, degrees): 3.640 3.640 20.066 90.00 90.00 120.00
Positions (direct):
1 Sc 0.000 0.000 0.000
2 Sc 0.333 0.667 0.667
3 Sc 0.667 0.333 0.333
4 Pa 0.000 0.000 0.500
5 Pa 0.333 0.667 0.167
6 Pa 0.667 0.333 0.833
7 S 0.000 0.000 0.258
8 S 0.000 0.000 0.742
9 S 0.333 0.667 0.409
10 S 0.333 0.667 0.925
11 S 0.667 0.333 0.075
12 S 0.667 0.333 0.591

Values from the calculation:
Offset from the most stable computed form (meV/atom): 0
Crystal system: trigonal
SG: R-3m (166)
Raw formation energy (eV per formula unit): -6.9

No. 9
Material: Ba4TbBi3O12
Method: DFT, PBE
State: relaxed

Lattice parameters (Å, degrees): 7.626 7.626 7.626 109.47 109.47 109.47
Positions (direct):
1 Ba 0.000 0.000 0.500
2 Ba 0.000 0.500 0.000
3 Ba 0.500 0.000 0.000
4 Ba 0.500 0.500 0.500
5 Tb 0.000 0.000 0.000
6 Bi 0.000 0.500 0.500
7 Bi 0.500 0.000 0.500
8 Bi 0.500 0.500 0.000
9 O 0.000 0.254 0.254
10 O 0.000 0.746 0.746
11 O 0.250 0.500 0.750
12 O 0.250 0.750 0.500
13 O 0.254 0.000 0.254
14 O 0.254 0.254 0.000
15 O 0.500 0.250 0.750
16 O 0.500 0.750 0.250
17 O 0.746 0.000 0.746
18 O 0.746 0.746 0.000
19 O 0.750 0.250 0.500
20 O 0.750 0.500 0.250

Values from the calculation:
Crystal system: cubic
SG: Im-3m (229)
Raw formation energy (eV per formula unit): -41.4

Which formula does entry 2 have?
LiAc3Zn2